No. 1
The following is a SCAN calculation of a crystal of TlZn relaxed with PBEsol, from Alexandria via LeMat-Bulk.

Output
DFT total energy   -85.526 eV per formula unit
Theoretical density   10.4 Mg/m³
M_tot   0.0 μB/cell

Unit cell a=3.8067 b=4.3349 c=5.5026 alpha=90.00 beta=107.71 gamma=90.00
Closest atoms and distances in Å follow each position.
Element x y z (fractional)
1 Tl 0.1512 0.2500 0.3098  7 Zn 2.90-3.07
2 Tl 0.8488 0.7500 0.6902  7 Zn 2.90-3.07
3 Zn 0.4340 0.2500 0.8615  2 Zn 2.61, 1 Tl 2.90
4 Zn 0.5660 0.7500 0.1385  2 Zn 2.61, 1 Tl 2.90

=====

No. 2
The following is a SCAN calculation of a crystal of TlZn2 relaxed with PBEsol, from Alexandria via LeMat-Bulk.

Output
DFT total energy   -98.726 eV per formula unit
Theoretical density   9.3 Mg/m³
M_tot   0.0 μB/cell

Unit cell a=4.3729 b=4.3729 c=3.6252 alpha=90.00 beta=90.00 gamma=120.00
Closest atoms and distances in Å follow each position.
Element x y z (fractional)
1 Tl 0.0000 0.0000 0.0000  12 Zn 3.11
2 Zn 0.3333 0.6667 0.5000  3 Zn 2.52
3 Zn 0.6667 0.3333 0.5000  3 Zn 2.52

=====

No. 3
The following is a SCAN calculation of a crystal of TlZn relaxed with PBEsol, from Alexandria via LeMat-Bulk.

Output
DFT total energy   -85.423 eV per formula unit
Theoretical density   10.3 Mg/m³
M_tot   0.0 μB/cell

Unit cell a=6.1532 b=6.1532 c=6.1532 alpha=149.38 beta=132.22 gamma=57.82
Closest atoms and distances in Å follow each position.
Element x y z (fractional)
1 Tl 0.3543 0.1043 0.2500  6 Zn 3.03-3.24, 4 Tl 3.25-3.35
2 Tl 0.6457 0.8957 0.7500  6 Zn 3.03-3.24, 4 Tl 3.25-3.35
3 Zn 0.0939 0.3439 0.7500  2 Zn 2.59
4 Zn 0.9061 0.6561 0.2500  2 Zn 2.59

=====

No. 4
The following is a SCAN calculation of a crystal of ZrTl2Zn relaxed with PBEsol, from Alexandria via LeMat-Bulk.

Output
Polymorph energy (0 for the lowest one)   0.000 eV per atom
DFT total energy   -189.287 eV per formula unit
Theoretical density   11.4 Mg/m³
M_tot   0.0 μB/cell

Unit cell a=4.3788 b=4.3788 c=4.2843 alpha=90.00 beta=90.00 gamma=90.00
Closest atoms and distances in Å follow each position.
Element x y z (fractional)
1 Zr 0.0000 0.0000 0.0000  8 Tl 3.06, 4 Zn 3.10
2 Tl 0.0000 0.5000 0.5000  4 Zr 3.06, 4 Zn 3.06, 4 Tl 3.10
3 Tl 0.5000 0.0000 0.5000  4 Zr 3.06, 4 Zn 3.06, 4 Tl 3.10
4 Zn 0.5000 0.5000 0.0000  8 Tl 3.06, 4 Zr 3.10

=====

No. 5
The following is a SCAN calculation of a crystal of ZrTl2Zn relaxed with PBEsol, from Alexandria via LeMat-Bulk.

Output
Polymorph energy (0 for the lowest one)   0.174 eV per atom
DFT total energy   -188.592 eV per formula unit
Theoretical density   11.0 Mg/m³
M_tot   0.0 μB/cell

Unit cell a=3.2791 b=4.1780 c=6.2039 alpha=90.00 beta=90.00 gamma=90.00
Closest atoms and distances in Å follow each position.
Element x y z (fractional)
1 Zr 0.0000 0.0000 0.0000  8 Tl 3.09, 2 Zn 3.10, 2 Zr 3.28
2 Tl 0.5000 0.5000 0.2562  4 Tl 3.03-3.28, 4 Zn 3.06, 4 Zr 3.09
3 Tl 0.5000 0.5000 0.7438  4 Tl 3.03-3.28, 4 Zn 3.06, 4 Zr 3.09
4 Zn 0.0000 0.0000 0.5000  8 Tl 3.06, 2 Zr 3.10, 2 Zn 3.28

=====

No. 6
The following is a SCAN calculation of a crystal of Zr2TlZn relaxed with PBEsol, from Alexandria via LeMat-Bulk.

Output
DFT total energy   -148.431 eV per formula unit
Theoretical density   9.5 Mg/m³
M_tot   0.0 μB/cell

Unit cell a=4.3449 b=4.3449 c=4.1843 alpha=90.00 beta=90.00 gamma=90.00
Closest atoms and distances in Å follow each position.
Element x y z (fractional)
1 Zr 0.0000 0.5000 0.0000  4 Zn 3.02, 4 Tl 3.02, 4 Zr 3.07
2 Zr 0.5000 0.0000 0.0000  4 Zn 3.02, 4 Tl 3.02, 4 Zr 3.07
3 Tl 0.0000 0.0000 0.5000  8 Zr 3.02, 4 Zn 3.07
4 Zn 0.5000 0.5000 0.5000  8 Zr 3.02, 4 Tl 3.07

=====

No. 7
The following is a SCAN calculation of a crystal of Zr2TlZn relaxed with PBEsol, from Alexandria via LeMat-Bulk.

Output
DFT total energy   -147.525 eV per formula unit
Theoretical density   9.1 Mg/m³
M_tot   0.0 μB/cell

Unit cell a=3.1429 b=3.1429 c=8.3736 alpha=90.00 beta=90.00 gamma=90.00
Closest atoms and distances in Å follow each position.
Element x y z (fractional)
1 Zr 0.0000 0.0000 0.0000  8 Zr 3.14-3.17, 4 Tl 3.20
2 Zr 0.5000 0.5000 0.2700  4 Zn 2.90, 8 Zr 3.14-3.17
3 Tl 0.5000 0.5000 0.7250  4 Zn 2.95, 4 Tl 3.14, 4 Zr 3.20
4 Zn 0.0000 0.0000 0.4927  4 Zr 2.90, 4 Tl 2.95, 4 Zn 3.14

=====

No. 8
The following is a SCAN calculation of a crystal of ZrTl2Zn relaxed with PBEsol, from Alexandria via LeMat-Bulk.

Output
Polymorph energy (0 for the lowest one)   0.092 eV per atom
DFT total energy   -188.918 eV per formula unit
Theoretical density   11.0 Mg/m³
M_tot   0.0 μB/cell

Unit cell a=5.9030 b=5.9030 c=5.9030 alpha=143.81 beta=134.79 gamma=59.23
Closest atoms and distances in Å follow each position.
Element x y z (fractional)
1 Zr 0.0000 0.0000 0.0000  2 Zn 2.91, 4 Tl 2.95
2 Tl 0.2683 0.7683 0.5000  4 Zn 2.92, 2 Tl 3.24
3 Tl 0.5432 0.5432 0.0000  4 Zr 2.95, 2 Zn 3.04, 2 Tl 3.24
4 Zn 0.7794 0.2794 0.5000  2 Zr 2.91, 6 Tl 2.92-3.04

=====

No. 9
The following is a SCAN calculation of a crystal of Zr2TlZn relaxed with PBEsol, from Alexandria via LeMat-Bulk.

Output
DFT total energy   -148.412 eV per formula unit
Theoretical density   9.5 Mg/m³
M_tot   0.0 μB/cell

Unit cell a=3.1387 b=4.0830 c=6.1562 alpha=90.00 beta=90.00 gamma=90.00
Closest atoms and distances in Å follow each position.
Element x y z (fractional)
1 Zr 0.0000 0.0000 0.2369  4 Zr 2.92-3.24, 4 Zn 2.96, 4 Tl 3.04
2 Zr 0.0000 0.0000 0.7631  4 Zr 2.92-3.24, 4 Zn 2.96, 4 Tl 3.04
3 Tl 0.5000 0.5000 0.5000  8 Zr 3.04, 2 Zn 3.08, 2 Tl 3.14
4 Zn 0.5000 0.5000 0.0000  8 Zr 2.96, 2 Tl 3.08, 2 Zn 3.14

=====

No. 10
The following is a SCAN calculation of a crystal of Zr2TlZn relaxed with PBEsol, from Alexandria via LeMat-Bulk.

Output
DFT total energy   -148.381 eV per formula unit
Theoretical density   9.5 Mg/m³
M_tot   0.0 μB/cell

Unit cell a=3.0783 b=3.0783 c=8.3178 alpha=90.00 beta=90.00 gamma=90.00
Closest atoms and distances in Å follow each position.
Element x y z (fractional)
1 Zr 0.0000 0.0000 0.2232  4 Zn 2.86, 4 Zr 3.08, 4 Tl 3.17
2 Zr 0.0000 0.0000 0.7768  4 Zn 2.86, 4 Zr 3.08, 4 Tl 3.17
3 Tl 0.5000 0.5000 0.5000  4 Tl 3.08, 8 Zr 3.17
4 Zn 0.5000 0.5000 0.0000  8 Zr 2.86, 4 Zn 3.08

=====

No. 11
The following is a SCAN calculation of a crystal of ZrTl2Zn relaxed with PBEsol, from Alexandria via LeMat-Bulk.

Output
Polymorph energy (0 for the lowest one)   0.199 eV per atom
DFT total energy   -188.492 eV per formula unit
Theoretical density   10.8 Mg/m³
M_tot   0.0 μB/cell

Unit cell a=9.7535 b=9.7535 c=9.7535 alpha=19.09 beta=19.09 gamma=19.09
Closest atoms and distances in Å follow each position.
Element x y z (fractional)
1 Zr 0.0000 0.0000 0.0000  6 Tl 3.15, 6 Zr 3.23
2 Tl 0.2450 0.2450 0.2450  3 Zn 2.92, 3 Zr 3.15, 6 Tl 3.23
3 Tl 0.7550 0.7550 0.7550  3 Zn 2.92, 3 Zr 3.15, 6 Tl 3.23
4 Zn 0.5000 0.5000 0.5000  6 Tl 2.92, 6 Zn 3.23

=====

No. 12
The following is a SCAN calculation of a crystal of ZrTl2Zn relaxed with PBEsol, from Alexandria via LeMat-Bulk.

Output
Polymorph energy (0 for the lowest one)   0.090 eV per atom
DFT total energy   -188.928 eV per formula unit
Theoretical density   11.1 Mg/m³
M_tot   0.0 μB/cell

Unit cell a=5.6765 b=5.6765 c=5.6765 alpha=136.92 beta=136.92 gamma=62.56
Closest atoms and distances in Å follow each position.
Element x y z (fractional)
1 Zr 0.0000 0.0000 0.0000  8 Tl 2.95-3.20, 4 Zn 3.20
2 Tl 0.5000 0.5000 0.0000  4 Zr 2.95, 4 Tl 3.20, 4 Zn 3.20
3 Tl 0.7500 0.2500 0.5000  4 Zn 2.95, 4 Zr 3.20, 4 Tl 3.20
4 Zn 0.2500 0.7500 0.5000  8 Tl 2.95-3.20, 4 Zr 3.20